Entry 1:
Density functional theory data (PBE-GGA) for a relaxed LiCd2PF crystal.

- E_form (uncorrected): -12.7 kJ/mol of atoms
- Uncorrected energy: -2.3372 eV per atom

a b c (Å): 4.754 4.754 4.567
angles (deg): 90.00 90.00 90.00
Space group P4/mmm (No. 123)
Symmetry-distinct sites (fractional):
Li  0.000  0.000  0.000 (multiplicity 1)
Cd  0.000  0.500  0.500 (multiplicity 2)
P  0.500  0.500  0.000 (multiplicity 1)
F  0.500  0.500  0.500 (multiplicity 1)



Entry 2:
Density functional theory data (PBE-GGA) for a relaxed Cs2PuAgI6 crystal.

- E_form (uncorrected): -107.8 kJ/mol of atoms
- Uncorrected energy: -3.9368 eV per atom

a b c (Å): 8.5514 8.5514 7.2529
angles (deg): 90.00 90.00 120.00
Space group P-3m1 (No. 164)
Symmetry-distinct sites (fractional):
Cs  0.3333  0.6667  0.2453 (multiplicity 2)
Pu  0.0000  0.0000  0.0000 (multiplicity 1)
Ag  0.0000  0.0000  0.5000 (multiplicity 1)
I  0.1689  0.3378  0.7485 (multiplicity 6)



Entry 3:
Density functional theory data (PBE-GGA) for a relaxed Sm5Dy3Tm3 crystal.

- ΔE_f: 18.5 kcal/mol of atoms
- Energy above the lowest structure with this stoichiometry: 0.472 eV/atom
- Uncorrected energy: -3.8168 eV per atom

a b c (Å): 9.7009 9.7009 5.4682
angles (deg): 90.00 90.00 120.00
Space group P-62m (No. 189)
Symmetry-distinct sites (fractional):
Sm  0.0000  0.2606  0.0000 (multiplicity 3)
Sm  0.3333  0.6667  0.0000 (multiplicity 2)
Dy  0.0000  0.4497  0.5000 (multiplicity 3)
Tm  0.0000  0.6283  0.0000 (multiplicity 3)



Entry 4:
Density functional theory data (PBE-GGA) for a relaxed ScNiBr2 crystal.

- E_form (uncorrected): -59.5 kJ/mol of atoms
- Energy above the lowest structure with this stoichiometry: 0.157 eV/atom
- Uncorrected energy: -4.4818 eV per atom

a b c (Å): 3.467 3.467 7.946
angles (deg): 90.00 90.00 90.00
Space group P4mm (No. 99)
Symmetry-distinct sites (fractional):
Sc  0.000  0.000  0.000 (multiplicity 1)
Ni  0.500  0.500  0.848 (multiplicity 1)
Br  0.000  0.000  0.675 (multiplicity 1)
Br  0.500  0.500  0.213 (multiplicity 1)



Entry 5:
Density functional theory data (PBE-GGA) for a relaxed Tl5Bi3Pb3 crystal.

- ΔE_f: 3.4 kcal/mol of atoms
- Energy above the lowest structure with this stoichiometry: 0.033 eV/atom
- Uncorrected energy: -2.9969 eV per atom

a b c (Å): 10.3067 10.3067 4.4880
angles (deg): 90.00 90.00 120.00
Space group P-62m (No. 189)
Symmetry-distinct sites (fractional):
Tl  0.0000  0.6379  0.0000 (multiplicity 3)
Tl  0.3333  0.6667  0.0000 (multiplicity 2)
Bi  0.0000  0.4088  0.5000 (multiplicity 3)
Pb  0.0000  0.2009  0.0000 (multiplicity 3)



Entry 6:
Density functional theory data (PBE-GGA) for a relaxed Sr3CuAu2 crystal.

- ΔE_f: -13.1 kcal/mol of atoms
- Uncorrected energy: -3.1824 eV per atom

a b c (Å): 12.555 4.491 12.796
angles (deg): 90.00 90.00 90.00
Space group Pnma (No. 62)
Symmetry-distinct sites (fractional):
Sr  0.055  0.250  0.126 (multiplicity 4)
Sr  0.120  0.750  0.558 (multiplicity 4)
Sr  0.212  0.250  0.806 (multiplicity 4)
Cu  0.125  0.250  0.373 (multiplicity 4)
Au  0.024  0.750  0.315 (multiplicity 4)
Au  0.194  0.750  0.990 (multiplicity 4)



- Look up the uncorrected energy of the second one.
  -3.9368 eV per atom



Repeat the sixth record exactly.
Density functional theory data (PBE-GGA) for a relaxed Sr3CuAu2 crystal.

- ΔE_f: -13.1 kcal/mol of atoms
- Uncorrected energy: -3.1824 eV per atom

a b c (Å): 12.555 4.491 12.796
angles (deg): 90.00 90.00 90.00
Space group Pnma (No. 62)
Symmetry-distinct sites (fractional):
Sr  0.055  0.250  0.126 (multiplicity 4)
Sr  0.120  0.750  0.558 (multiplicity 4)
Sr  0.212  0.250  0.806 (multiplicity 4)
Cu  0.125  0.250  0.373 (multiplicity 4)
Au  0.024  0.750  0.315 (multiplicity 4)
Au  0.194  0.750  0.990 (multiplicity 4)



- Which of these has the highest uncorrected energy?
  LiCd2PF